No. 1
The following is a PBE-GGA calculation of an optimized crystal structure of CaLa2RuO8, from the Alexandria database.

a = 4.5418 Å, b = 5.4370 Å, c = 7.1811 Å
α = 90.13°, β = 90.12°, γ = 92.28°
With the nearest neighbours (Å) after each atom.
Space group P-1 (No. 2)
Asymmetric unit:
1 Ca 0.0000 0.0000 0.0000 x1  6 O 2.31-2.58
2 La 0.4967 0.4986 0.7556 x2  2 O 2.21-2.22
3 Ru 0.0000 0.0000 0.5000 x1  6 O 1.93-1.96
4 O 0.0611 0.7605 0.3062 x2  1 Ru 1.93
5 O 0.0625 0.7629 0.6941 x2  1 Ru 1.93
6 O 0.4151 0.2589 0.0004 x2  2 La 2.21-2.22, 1 Ca 2.31
7 O 0.4162 0.1077 0.4993 x2  1 O 1.42

Output
crystal system = triclinic
electronic total energy = -86.1 eV per cell


No. 2
The following is a PBE-GGA calculation of an optimized crystal structure of PrY2TmP4, from the Alexandria database.

a = 7.0086 Å, b = 4.0503 Å, c = 7.0107 Å
α = 90.00°, β = 109.47°, γ = 90.00°
With the nearest neighbours (Å) after each atom.
Space group P2/m (No. 10)
Asymmetric unit:
1 Pr 0.0000 0.0000 0.0000 x1  6 P 2.90-2.91
2 Y 0.0000 0.5000 0.5000 x1  6 P 2.88
3 Y 0.5000 0.0000 0.5000 x1  6 P 2.82
4 Tm 0.5000 0.5000 0.0000 x1  6 P 2.85
5 P 0.2567 0.0000 0.7493 x2  3 Y 2.82-2.88, 2 Tm 2.85, 1 Pr 2.90
6 P 0.2590 0.5000 0.2561 x2  3 Y 2.82-2.88, 1 Tm 2.85, 2 Pr 2.91

Output
crystal system = monoclinic
E_form = -1577 meV/atom
electronic total energy = -56.4 eV per cell


No. 3
The following is a PBE-GGA calculation of an optimized crystal structure of Ac10In3Pb3, from the Alexandria database.

a = 9.8850 Å, b = 9.8850 Å, c = 7.4796 Å
α = 90.00°, β = 90.00°, γ = 120.00°
With the nearest neighbours (Å) after each atom.
Space group P-62m (No. 189)
Asymmetric unit:
1 Ac 0.0000 0.2442 0.0000 x3  3 Pb 3.42-3.56
2 Ac 0.0000 0.7593 0.5000 x3  3 In 3.46-3.54
3 Ac 0.3333 0.6667 0.2522 x4  3 In 3.54, 3 Pb 3.57, 2 Ac 3.71-3.77
4 In 0.0000 0.4011 0.5000 x3  7 Ac 3.46-3.54
5 Pb 0.0000 0.6039 0.0000 x3  7 Ac 3.42-3.57

Output
crystal system = hexagonal
E_form = -397 meV/atom
electronic total energy = -66.8 eV per cell


No. 4
The following is a PBE-GGA calculation of an optimized crystal structure of Mn2CoRe, from the Alexandria database.

a = 2.6166 Å, b = 2.6166 Å, c = 24.7176 Å
α = 90.00°, β = 90.00°, γ = 120.00°
With the nearest neighbours (Å) after each atom.
Space group R3m (No. 160, hexagonal axes)
Asymmetric unit:
1 Mn 0.0000 0.0000 0.0000 x3  3 Co 2.46, 3 Re 2.60, 6 Mn 2.62
2 Mn 0.0000 0.0000 0.1743 x3  3 Co 2.49, 6 Mn 2.62, 3 Re 2.66
3 Co 0.0000 0.0000 0.5879 x3  6 Mn 2.46-2.49, 6 Co 2.62
4 Re 0.0000 0.0000 0.7523 x3  6 Mn 2.60-2.66, 6 Re 2.62

Output
crystal system = trigonal
E_form = 190 meV/atom
electronic total energy = -111.4 eV per cell


No. 5
The following is a PBE-GGA calculation of an optimized crystal structure of Ba2CaNi, from the Alexandria database.

a = 7.9690 Å, b = 7.9892 Å, c = 4.7214 Å
α = 90.00°, β = 90.00°, γ = 90.00°
With the nearest neighbours (Å) after each atom.
Space group Cmmm (No. 65)
Asymmetric unit:
1 Ba 0.2500 0.2500 0.0000 x4  4 Ni 3.68, 4 Ca 3.68, 4 Ba 3.98-3.99
2 Ca 0.0000 0.0000 0.5000 x2  8 Ba 3.68, 4 Ni 3.98-3.99
3 Ni 0.0000 0.5000 0.5000 x2  8 Ba 3.68, 4 Ca 3.98-3.99

Output
distance to the lowest polymorph of the same formula = 306 meV per atom
crystal system = orthorhombic
E_form = 361 meV/atom
electronic total energy = -20.4 eV per cell


No. 6
The following is a PBE-GGA calculation of an optimized crystal structure of Tc4Ir3Ru2, from the Alexandria database.

a = 12.5555 Å, b = 9.1553 Å, c = 4.6766 Å
α = 90.00°, β = 99.22°, γ = 90.00°
With the nearest neighbours (Å) after each atom.
Space group C2/c (No. 15)
Asymmetric unit:
1 Tc 0.0641 0.1063 0.0469 x8  2 Tc 2.52-2.68, 1 Ru 2.57, 4 Ir 2.63-2.71
2 Tc 0.1022 0.3899 0.2915 x8  2 Ru 2.51-2.71, 1 Tc 2.53, 4 Ir 2.59-2.76
3 Ir 0.0000 0.3427 0.7500 x4  8 Tc 2.63-2.76, 2 Ru 2.87, 2 Ir 2.88
4 Ir 0.1646 0.1568 0.5856 x8  5 Tc 2.59-2.88, 4 Ru 2.63-2.75, 1 Ir 2.88
5 Ru 0.2284 0.3958 0.8739 x8  3 Tc 2.51-2.71, 4 Ir 2.63-2.75

Output
crystal system = monoclinic
E_form = 64 meV/atom
electronic total energy = -344.1 eV per cell


No. 7
The following is a PBE-GGA calculation of an optimized crystal structure of PuAl11Ru, from the Alexandria database.

a = 5.2119 Å, b = 12.6314 Å, c = 7.0923 Å
α = 90.00°, β = 110.42°, γ = 90.00°
With the nearest neighbours (Å) after each atom.
Space group C2/m (No. 12)
Asymmetric unit:
1 Pu 0.0000 0.0000 0.0000 x2  18 Al 3.23-3.55, 2 Ru 3.59
2 Al 0.0000 0.0000 0.5000 x2  2 Ru 2.61, 8 Al 2.66-2.73
3 Al 0.1069 0.3934 0.2215 x8  1 Ru 2.61, 6 Al 2.66-2.92
4 Al 0.1892 0.1728 0.3580 x8  1 Ru 2.70, 8 Al 2.71-2.97
5 Al 0.2500 0.2500 0.0000 x4  8 Al 2.61-2.84
6 Ru 0.0000 0.5000 0.5000 x2  10 Al 2.61-2.70

Output
crystal system = monoclinic
E_form = -252 meV/atom
electronic total energy = -136.1 eV per cell


No. 8
The following is a PBE-GGA calculation of an optimized crystal structure of AlGe2Sb, from the Alexandria database.

a = 6.9597 Å, b = 6.9597 Å, c = 6.9597 Å
α = 90.00°, β = 90.00°, γ = 90.00°
With the nearest neighbours (Å) after each atom.
Space group Fm-3m (No. 225)
Asymmetric unit:
1 Al 0.0000 0.0000 0.0000 x4  8 Ge 3.01
2 Ge 0.2500 0.2500 0.2500 x8  4 Sb 3.01, 4 Al 3.01
3 Sb 0.0000 0.0000 0.5000 x4  8 Ge 3.01

Output
distance to the lowest polymorph of the same formula = 283 meV per atom
crystal system = cubic
electronic total energy = -63.3 eV per cell


Which value of electronic total energy does entry 6 give?
-344.1 eV per cell